Computed, not measured: a relaxed structure of CrFe2Os at the PBE level of DFT.

It has space group Pmmm (No. 47), with a = 2.940 Å, b = 4.057 Å, c = 4.182 Å, α = 90.00°, β = 90.00° and γ = 90.00°. Symmetry generates all atoms from Cr at (0.000, 0.000, 0.000), Fe at (0.000, 0.500, 0.500), Fe at (0.500, 0.000, 0.500) and Os at (0.500, 0.500, 0.000).

As for the energy relative to the elements: 0.13 eV/atom. For the density of states at the Fermi level, the calculation gives 0.999 states/eV per atom.